A plane-wave DFT calculation with PBE-GGA was carried out for an optimized crystal structure of CrInRe2.

Cell: 2.9063 2.9063 7.3662 Å, 90.00 90.00 90.00°
Positions (direct):
Cr 0.5000 0.5000 0.2500
In 0.5000 0.5000 0.7500
Re 0.0000 0.0000 0.0412
Re 0.0000 0.0000 0.4588

ΔE_f (eV/atom): 0.36